No. 1
VASP calculation (GGA-PBE) on a relaxed structure of Er2MgSc.

Values from the calculation:
energy relative to the elements: 0.048 eV/atom
space-group type: R3m
total moment: 0.00 μB per cell
calculated volume: 110.3 Å³/f.u.

a = 3.377 Å, b = 3.377 Å, c = 33.522 Å
α = 90.00°, β = 90.00°, γ = 120.00°
Fractional coordinates of all 12 atoms:
1 Er 0.000 0.000 0.000
2 Er 0.000 0.000 0.172
3 Er 0.333 0.667 0.667
4 Er 0.333 0.667 0.839
5 Er 0.667 0.333 0.333
6 Er 0.667 0.333 0.505
7 Mg 0.000 0.000 0.753
8 Mg 0.333 0.667 0.420
9 Mg 0.667 0.333 0.086
10 Sc 0.000 0.000 0.586
11 Sc 0.333 0.667 0.253
12 Sc 0.667 0.333 0.919

=====

No. 2
VASP calculation (GGA-PBE) on a relaxed structure of ErMgSc.

Values from the calculation:
energy relative to the elements: -0.012 eV/atom
space-group type: P4/nmm
total moment: 0.00 μB per cell
calculated volume: 78.0 Å³/f.u.

a = 3.351 Å, b = 3.351 Å, c = 13.900 Å
α = 90.00°, β = 90.00°, γ = 90.00°
Fractional coordinates of all 6 atoms:
1 Er 0.250 0.250 0.247
2 Er 0.750 0.750 0.753
3 Mg 0.250 0.250 0.926
4 Mg 0.750 0.750 0.074
5 Sc 0.250 0.250 0.581
6 Sc 0.750 0.750 0.419

=====

No. 3
VASP calculation (GGA-PBE) on a relaxed structure of Er6MgSc5.

Values from the calculation:
energy relative to the elements: 0.058 eV/atom
space-group type: C2/m
total moment: 0.00 μB per cell
calculated volume: 328.1 Å³/f.u.

a = 5.895 Å, b = 5.895 Å, c = 11.080 Å
α = 95.12°, β = 95.12°, γ = 119.99°
Fractional coordinates of all 12 atoms:
1 Er 0.080 0.417 0.749
2 Er 0.247 0.247 0.251
3 Er 0.417 0.080 0.749
4 Er 0.583 0.920 0.251
5 Er 0.753 0.753 0.749
6 Er 0.920 0.583 0.251
7 Mg 0.500 0.500 0.000
8 Sc 0.000 0.000 0.500
9 Sc 0.167 0.833 0.000
10 Sc 0.334 0.666 0.500
11 Sc 0.666 0.334 0.500
12 Sc 0.833 0.167 0.000

=====

No. 4
VASP calculation (GGA-PBE) on a relaxed structure of Er6Mg5Sc.

Values from the calculation:
energy relative to the elements: -0.031 eV/atom
space-group type: Immm
total moment: 0.00 μB per cell
calculated volume: 322.6 Å³/f.u.

a = 9.232 Å, b = 9.232 Å, c = 9.232 Å
α = 146.68°, β = 131.10°, γ = 60.46°
Fractional coordinates of all 12 atoms:
1 Er 0.084 0.334 0.750
2 Er 0.250 0.000 0.250
3 Er 0.416 0.666 0.750
4 Er 0.584 0.334 0.250
5 Er 0.750 0.000 0.750
6 Er 0.916 0.666 0.250
7 Mg 0.164 0.164 0.000
8 Mg 0.333 0.833 0.500
9 Mg 0.500 0.500 0.000
10 Mg 0.667 0.167 0.500
11 Mg 0.836 0.836 0.000
12 Sc 0.000 0.500 0.500

=====

No. 5
VASP calculation (GGA-PBE) on a relaxed structure of Er12MgSc6.

Values from the calculation:
energy relative to the elements: 0.142 eV/atom
space-group type: R-3
total moment: 0.01 μB per cell
calculated volume: 550.7 Å³/f.u.

a = 8.202 Å, b = 8.202 Å, c = 8.202 Å
α = 88.00°, β = 88.00°, γ = 88.00°
Fractional coordinates of all 19 atoms:
1 Er 0.040 0.934 0.286
2 Er 0.066 0.714 0.960
3 Er 0.131 0.491 0.325
4 Er 0.286 0.040 0.934
5 Er 0.325 0.131 0.491
6 Er 0.491 0.325 0.131
7 Er 0.509 0.675 0.869
8 Er 0.675 0.869 0.509
9 Er 0.714 0.960 0.066
10 Er 0.869 0.509 0.675
11 Er 0.934 0.286 0.040
12 Er 0.960 0.066 0.714
13 Mg 0.500 0.500 0.500
14 Sc 0.217 0.759 0.599
15 Sc 0.241 0.401 0.783
16 Sc 0.401 0.783 0.241
17 Sc 0.599 0.217 0.759
18 Sc 0.759 0.599 0.217
19 Sc 0.783 0.241 0.401

=====

No. 6
VASP calculation (GGA-PBE) on a relaxed structure of Er6MgSc4.

Values from the calculation:
energy relative to the elements: 0.275 eV/atom
space-group type: I-42m
total moment: 0.00 μB per cell
calculated volume: 317.7 Å³/f.u.

a = 9.259 Å, b = 9.259 Å, c = 9.259 Å
α = 140.56°, β = 140.56°, γ = 57.00°
Fractional coordinates of all 11 atoms:
1 Er 0.000 0.500 0.500
2 Er 0.009 0.638 0.000
3 Er 0.362 0.362 0.371
4 Er 0.500 0.000 0.500
5 Er 0.638 0.009 0.000
6 Er 0.991 0.991 0.629
7 Mg 0.000 0.000 0.000
8 Sc 0.204 0.204 0.660
9 Sc 0.456 0.796 0.000
10 Sc 0.544 0.544 0.340
11 Sc 0.796 0.456 0.000

=====

No. 7
VASP calculation (GGA-PBE) on a relaxed structure of Er3Mg4Sc.

Values from the calculation:
energy relative to the elements: 0.094 eV/atom
space-group type: Immm
total moment: 0.01 μB per cell
calculated volume: 217.2 Å³/f.u.

a = 3.234 Å, b = 6.266 Å, c = 21.434 Å
α = 90.00°, β = 90.00°, γ = 90.00°
Fractional coordinates of all 16 atoms:
1 Er 0.000 0.000 0.000
2 Er 0.000 0.500 0.238
3 Er 0.000 0.500 0.762
4 Er 0.500 0.000 0.262
5 Er 0.500 0.000 0.738
6 Er 0.500 0.500 0.500
7 Mg 0.000 0.255 0.377
8 Mg 0.000 0.255 0.623
9 Mg 0.000 0.745 0.377
10 Mg 0.000 0.745 0.623
11 Mg 0.500 0.245 0.123
12 Mg 0.500 0.245 0.877
13 Mg 0.500 0.755 0.123
14 Mg 0.500 0.755 0.877
15 Sc 0.000 0.000 0.500
16 Sc 0.500 0.500 0.000

=====

No. 8
VASP calculation (GGA-PBE) on a relaxed structure of Er4MgSc.

Values from the calculation:
energy relative to the elements: 0.005 eV/atom
space-group type: P4/mmm
total moment: 0.00 μB per cell
calculated volume: 170.0 Å³/f.u.

a = 3.468 Å, b = 3.468 Å, c = 14.137 Å
α = 90.00°, β = 90.00°, γ = 90.00°
Fractional coordinates of all 6 atoms:
1 Er 0.000 0.000 0.161
2 Er 0.000 0.000 0.839
3 Er 0.500 0.500 0.336
4 Er 0.500 0.500 0.664
5 Mg 0.500 0.500 0.000
6 Sc 0.000 0.000 0.500

=====

No. 9
VASP calculation (GGA-PBE) on a relaxed structure of ErMg5Sc2.

Values from the calculation:
energy relative to the elements: 0.096 eV/atom
space-group type: I4/mcm
total moment: 0.02 μB per cell
calculated volume: 196.9 Å³/f.u.

a = 8.332 Å, b = 8.332 Å, c = 8.332 Å
α = 122.32°, β = 122.32°, γ = 86.03°
Fractional coordinates of all 16 atoms:
1 Er 0.250 0.250 0.000
2 Er 0.750 0.750 0.000
3 Mg 0.000 0.000 0.000
4 Mg 0.021 0.521 0.213
5 Mg 0.192 0.979 0.500
6 Mg 0.308 0.808 0.787
7 Mg 0.479 0.692 0.500
8 Mg 0.500 0.500 0.000
9 Mg 0.521 0.308 0.500
10 Mg 0.692 0.192 0.213
11 Mg 0.808 0.021 0.500
12 Mg 0.979 0.479 0.787
13 Sc 0.154 0.346 0.500
14 Sc 0.346 0.846 0.192
15 Sc 0.654 0.154 0.808
16 Sc 0.846 0.654 0.500

=====

No. 10
VASP calculation (GGA-PBE) on a relaxed structure of ErMg3Sc2.

Values from the calculation:
energy relative to the elements: -0.045 eV/atom
space-group type: P4/mmm
total moment: 0.00 μB per cell
calculated volume: 146.3 Å³/f.u.

a = 3.648 Å, b = 3.648 Å, c = 10.994 Å
α = 90.00°, β = 90.00°, γ = 90.00°
Fractional coordinates of all 6 atoms:
1 Er 0.000 0.000 0.000
2 Mg 0.500 0.500 0.181
3 Mg 0.500 0.500 0.500
4 Mg 0.500 0.500 0.819
5 Sc 0.000 0.000 0.339
6 Sc 0.000 0.000 0.661

=====

No. 11
VASP calculation (GGA-PBE) on a relaxed structure of ErMg2Sc.

Values from the calculation:
energy relative to the elements: -0.051 eV/atom
space-group type: P4/mmm
total moment: 0.00 μB per cell
calculated volume: 99.9 Å³/f.u.

a = 3.674 Å, b = 3.674 Å, c = 7.405 Å
α = 90.00°, β = 90.00°, γ = 90.00°
Fractional coordinates of all 4 atoms:
1 Er 0.000 0.000 0.000
2 Mg 0.500 0.500 0.267
3 Mg 0.500 0.500 0.733
4 Sc 0.000 0.000 0.500

=====

No. 12
VASP calculation (GGA-PBE) on a relaxed structure of Er2Mg2Sc.

Values from the calculation:
energy relative to the elements: 0.105 eV/atom
space-group type: Immm
total moment: 0.00 μB per cell
calculated volume: 136.6 Å³/f.u.

a = 5.061 Å, b = 6.511 Å, c = 8.293 Å
α = 90.00°, β = 90.00°, γ = 90.00°
Fractional coordinates of all 10 atoms:
1 Er 0.000 0.000 0.196
2 Er 0.000 0.000 0.804
3 Er 0.500 0.500 0.304
4 Er 0.500 0.500 0.696
5 Mg 0.000 0.282 0.500
6 Mg 0.000 0.718 0.500
7 Mg 0.500 0.218 0.000
8 Mg 0.500 0.782 0.000
9 Sc 0.000 0.500 0.000
10 Sc 0.500 0.000 0.500